# 1
# LiTh2S6

A geometry-optimized LiTh2S6 structure (PBE, OQMD via LeMat-Bulk).

Cell: 10.401 10.401 10.401 Å, 157.64 151.22 36.75°
Fractional coordinates of all 9 atoms:
Li1 0.000 0.000 0.000
Th1 0.331 0.831 0.500
Th2 0.669 0.169 0.500
S1 0.157 0.410 0.747
S2 0.229 0.229 0.000
S3 0.337 0.590 0.747
S4 0.663 0.410 0.253
S5 0.771 0.771 0.000
S6 0.843 0.590 0.253

Uncorrected energy = -6.09 eV/atom



# 2
# Li2ThS3

A geometry-optimized Li2ThS3 structure (PBE, OQMD via LeMat-Bulk).

Cell: 6.303 6.303 10.775 Å, 90.00 90.00 142.37°
Fractional coordinates of all 12 atoms:
Li1 0.020 0.980 0.750
Li2 0.239 0.761 0.250
Li3 0.761 0.239 0.750
Li4 0.980 0.020 0.250
Th1 0.500 0.500 0.000
Th2 0.500 0.500 0.500
S1 0.139 0.861 0.577
S2 0.139 0.861 0.923
S3 0.411 0.589 0.750
S4 0.589 0.411 0.250
S5 0.861 0.139 0.077
S6 0.861 0.139 0.423

Uncorrected energy = -5.49 eV/atom



# 3
# LiZrTlS3

A geometry-optimized LiZrTlS3 structure (PBE, OQMD via LeMat-Bulk).

Cell: 7.232 7.232 10.078 Å, 90.00 90.00 149.70°
Fractional coordinates of all 12 atoms:
Li1 0.049 0.951 0.750
Li2 0.951 0.049 0.250
Zr1 0.500 0.500 0.000
Zr2 0.500 0.500 0.500
Tl1 0.230 0.770 0.250
Tl2 0.770 0.230 0.750
S1 0.123 0.877 0.542
S2 0.123 0.877 0.958
S3 0.448 0.552 0.750
S4 0.552 0.448 0.250
S5 0.877 0.123 0.042
S6 0.877 0.123 0.458

Polymorph energy (0 for the lowest one) = 0.0009 eV per atom



# 4
# LiZrTlS3

A geometry-optimized LiZrTlS3 structure (PBE, OQMD via LeMat-Bulk).

Cell: 7.911 3.815 9.748 Å, 90.00 109.59 90.00°
Fractional coordinates of all 12 atoms:
Li1 0.068 0.250 0.101
Li2 0.932 0.750 0.899
Zr1 0.310 0.750 0.346
Zr2 0.690 0.250 0.654
Tl1 0.266 0.250 0.804
Tl2 0.734 0.750 0.196
S1 0.096 0.250 0.353
S2 0.236 0.750 0.075
S3 0.452 0.750 0.632
S4 0.548 0.250 0.368
S5 0.764 0.250 0.925
S6 0.904 0.750 0.647

Polymorph energy (0 for the lowest one) = 0.0119 eV per atom



# 5
# LiZrTlS3

A geometry-optimized LiZrTlS3 structure (PBE, OQMD via LeMat-Bulk).

Cell: 14.176 3.816 10.351 Å, 90.00 90.00 90.00°
Fractional coordinates of all 24 atoms:
Li1 0.020 0.250 0.091
Li2 0.480 0.750 0.591
Li3 0.520 0.250 0.409
Li4 0.980 0.750 0.909
Zr1 0.015 0.750 0.336
Zr2 0.485 0.250 0.836
Zr3 0.515 0.750 0.164
Zr4 0.985 0.250 0.664
Tl1 0.229 0.750 0.008
Tl2 0.271 0.250 0.508
Tl3 0.729 0.750 0.492
Tl4 0.771 0.250 0.992
S1 0.077 0.250 0.870
S2 0.092 0.750 0.569
S3 0.128 0.250 0.268
S4 0.372 0.750 0.768
S5 0.408 0.250 0.069
S6 0.423 0.750 0.370
S7 0.577 0.250 0.630
S8 0.592 0.750 0.931
S9 0.628 0.250 0.232
S10 0.872 0.750 0.732
S11 0.908 0.250 0.431
S12 0.923 0.750 0.130

Polymorph energy (0 for the lowest one) = 0.0000 eV per atom



# 6
# Li2ZrTlS4

A geometry-optimized Li2ZrTlS4 structure (PBE, OQMD via LeMat-Bulk).

Cell: 7.207 7.207 7.207 Å, 132.67 132.67 69.17°
Fractional coordinates of all 8 atoms:
Li1 0.000 0.000 0.000
Li2 0.750 0.250 0.500
Zr1 0.250 0.750 0.500
Tl1 0.500 0.500 0.000
S1 0.095 0.645 0.011
S2 0.355 0.366 0.450
S3 0.634 0.084 0.989
S4 0.916 0.905 0.550

Uncorrected energy = -4.94 eV/atom



# 7
# LiTmZnS3

A geometry-optimized LiTmZnS3 structure (PBE, OQMD via LeMat-Bulk).

Cell: 11.554 3.810 10.905 Å, 90.00 90.00 90.00°
Fractional coordinates of all 24 atoms:
Li1 0.116 0.250 0.020
Li2 0.384 0.750 0.520
Li3 0.616 0.250 0.480
Li4 0.884 0.750 0.980
Tm1 0.045 0.250 0.674
Tm2 0.455 0.750 0.174
Tm3 0.545 0.250 0.826
Tm4 0.955 0.750 0.326
Zn1 0.236 0.250 0.288
Zn2 0.264 0.750 0.788
Zn3 0.736 0.250 0.212
Zn4 0.764 0.750 0.712
S1 0.071 0.750 0.856
S2 0.088 0.250 0.424
S3 0.221 0.750 0.158
S4 0.279 0.250 0.658
S5 0.412 0.750 0.924
S6 0.429 0.250 0.356
S7 0.571 0.750 0.644
S8 0.588 0.250 0.076
S9 0.721 0.750 0.342
S10 0.779 0.250 0.842
S11 0.912 0.750 0.576
S12 0.929 0.250 0.144

Polymorph energy (0 for the lowest one) = 0.0000 eV per atom



# 8
# LiTmZnS3

A geometry-optimized LiTmZnS3 structure (PBE, OQMD via LeMat-Bulk).

Cell: 6.417 6.417 10.446 Å, 90.00 90.00 145.57°
Fractional coordinates of all 12 atoms:
Li1 0.238 0.762 0.750
Li2 0.762 0.238 0.250
Tm1 0.000 0.000 0.000
Tm2 0.000 0.000 0.500
Zn1 0.473 0.527 0.250
Zn2 0.527 0.473 0.750
S1 0.090 0.910 0.250
S2 0.360 0.640 0.075
S3 0.360 0.640 0.425
S4 0.640 0.360 0.575
S5 0.640 0.360 0.925
S6 0.910 0.090 0.750

Polymorph energy (0 for the lowest one) = 0.0231 eV per atom



# 9
# LiU2S6

A geometry-optimized LiU2S6 structure (PBE, OQMD via LeMat-Bulk).

Cell: 9.942 9.942 9.942 Å, 158.15 149.84 37.56°
Fractional coordinates of all 9 atoms:
Li1 0.000 0.000 0.000
U1 0.328 0.828 0.500
U2 0.672 0.172 0.500
S1 0.146 0.406 0.740
S2 0.224 0.224 0.000
S3 0.334 0.594 0.740
S4 0.666 0.406 0.260
S5 0.776 0.776 0.000
S6 0.854 0.594 0.260

Uncorrected energy = -6.60 eV/atom



# 10
# Li4WS5

A geometry-optimized Li4WS5 structure (PBE, OQMD via LeMat-Bulk).

Cell: 6.248 6.256 9.366 Å, 101.64 109.31 101.18°
Fractional coordinates of all 20 atoms:
Li1 0.000 0.000 0.000
Li2 0.000 0.500 0.500
Li3 0.196 0.000 0.395
Li4 0.203 0.507 0.914
Li5 0.379 0.492 0.277
Li6 0.621 0.508 0.723
Li7 0.797 0.493 0.086
Li8 0.804 0.000 0.605
W1 0.382 0.996 0.772
W2 0.618 0.004 0.228
S1 0.023 0.759 0.750
S2 0.214 0.248 0.665
S3 0.221 0.769 0.156
S4 0.407 0.750 0.565
S5 0.415 0.217 0.042
S6 0.585 0.783 0.958
S7 0.593 0.250 0.435
S8 0.779 0.231 0.844
S9 0.786 0.752 0.335
S10 0.977 0.241 0.250

Uncorrected energy = -5.06 eV/atom



# 11
# LiW3S5

A geometry-optimized LiW3S5 structure (PBE, OQMD via LeMat-Bulk).

Cell: 5.597 5.597 6.989 Å, 90.00 90.00 120.00°
Fractional coordinates of all 9 atoms:
Li1 0.000 0.000 0.000
W1 0.000 0.500 0.500
W2 0.500 0.000 0.500
W3 0.500 0.500 0.500
S1 0.000 0.000 0.500
S2 0.333 0.667 0.236
S3 0.333 0.667 0.764
S4 0.667 0.333 0.236
S5 0.667 0.333 0.764

Uncorrected energy = -6.94 eV/atom



# 12
# Li2ZnWS4

A geometry-optimized Li2ZnWS4 structure (PBE, OQMD via LeMat-Bulk).

Cell: 6.343 6.722 10.106 Å, 90.00 128.54 90.00°
Fractional coordinates of all 16 atoms:
Li1 0.000 0.161 0.000
Li2 0.000 0.839 0.500
Li3 0.747 0.334 0.246
Li4 0.747 0.666 0.746
Zn1 0.256 0.326 0.750
Zn2 0.256 0.674 0.250
W1 0.497 0.171 0.494
W2 0.497 0.829 0.994
S1 0.148 0.340 0.260
S2 0.148 0.660 0.760
S3 0.380 0.154 0.992
S4 0.380 0.846 0.492
S5 0.616 0.321 0.737
S6 0.616 0.679 0.237
S7 0.871 0.181 0.505
S8 0.871 0.819 0.005

Uncorrected energy = -5.03 eV/atom



Please write out number 9 again, unchanged.
# LiU2S6

A geometry-optimized LiU2S6 structure (PBE, OQMD via LeMat-Bulk).

Cell: 9.942 9.942 9.942 Å, 158.15 149.84 37.56°
Fractional coordinates of all 9 atoms:
Li1 0.000 0.000 0.000
U1 0.328 0.828 0.500
U2 0.672 0.172 0.500
S1 0.146 0.406 0.740
S2 0.224 0.224 0.000
S3 0.334 0.594 0.740
S4 0.666 0.406 0.260
S5 0.776 0.776 0.000
S6 0.854 0.594 0.260

Uncorrected energy = -6.60 eV/atom



What did the sixth record say?
# Li2ZrTlS4

A geometry-optimized Li2ZrTlS4 structure (PBE, OQMD via LeMat-Bulk).

Cell: 7.207 7.207 7.207 Å, 132.67 132.67 69.17°
Fractional coordinates of all 8 atoms:
Li1 0.000 0.000 0.000
Li2 0.750 0.250 0.500
Zr1 0.250 0.750 0.500
Tl1 0.500 0.500 0.000
S1 0.095 0.645 0.011
S2 0.355 0.366 0.450
S3 0.634 0.084 0.989
S4 0.916 0.905 0.550

Uncorrected energy = -4.94 eV/atom